(1)
Nb2CrC PBE-GGA optimized geometry; spin magnetization = 0.00 μB per cell; ΔH_f (0 K) = -0.24 eV/f.u.
1.0
1.547 0.893 6.646
-1.547 0.893 6.646
0.000 -1.786 6.646
Nb Cr C
2 1 1
Cartesian
0.000 0.000 4.631
0.000 0.000 15.307
0.000 0.000 0.000
0.000 0.000 9.969

(2)
NbCr2C PBE-GGA optimized geometry; spin magnetization = 0.00 μB per cell; ΔH_f (0 K) = -0.65 eV/f.u.
1.0
1.510 -4.413 0.000
1.510 4.413 0.000
0.000 0.000 6.733
Nb Cr C
2 4 2
Cartesian
1.510 3.953 5.050
1.510 -3.953 1.683
1.510 1.377 3.757
1.510 1.377 6.343
1.510 -1.377 0.390
1.510 -1.377 2.976
1.510 2.326 1.683
1.510 -2.326 5.050

(3)
Nb3CrC PBE-GGA optimized geometry; spin magnetization = 0.00 μB per cell; polymorph energy (0 for the lowest one) = 1812 meV per atom; ΔH_f (0 K) = 9.92 eV/f.u.
1.0
4.543 0.000 0.000
0.000 4.543 0.000
0.000 0.000 4.543
Nb Cr C
3 1 1
Cartesian
0.000 0.000 2.271
0.000 2.271 0.000
2.271 0.000 0.000
0.000 0.000 0.000
2.271 2.271 2.271